1.
The following is a DFT calculation (GGA-PBE) of a geometry-optimized La2Al3GeAu4 structure. Values from VASP.

Properties
Space group: No. 115

```
&SYSTEM
  ibrav = 0, nat = 10, ntyp = 4
/
ATOMIC_SPECIES
La 138.91 La.upf
Al 26.98 Al.upf
Ge 72.64 Ge.upf
Au 196.97 Au.upf
CELL_PARAMETERS angstrom
4.514 0.000 0.000
0.000 4.514 0.000
0.000 0.000 10.429
ATOMIC_POSITIONS angstrom
La 0.000 2.257 2.591
La 2.257 0.000 7.837
Al 0.000 0.000 0.000
Al 0.000 2.257 6.532
Al 2.257 0.000 3.897
Ge 2.257 2.257 0.000
Au 0.000 0.000 5.214
Au 0.000 2.257 9.063
Au 2.257 0.000 1.365
Au 2.257 2.257 5.214
```

2.
The following is a DFT calculation (GGA-PBE) of a geometry-optimized La2AlGe3Au4 structure. Values from VASP.

Properties
Space group: No. 115

```
&SYSTEM
  ibrav = 0, nat = 10, ntyp = 4
/
ATOMIC_SPECIES
La 138.91 La.upf
Al 26.98 Al.upf
Ge 72.64 Ge.upf
Au 196.97 Au.upf
CELL_PARAMETERS angstrom
4.452 0.000 0.000
0.000 4.452 0.000
0.000 0.000 10.765
ATOMIC_POSITIONS angstrom
La 0.000 2.226 2.610
La 2.226 0.000 8.155
Al 0.000 0.000 5.382
Ge 0.000 2.226 9.303
Ge 2.226 0.000 1.461
Ge 2.226 2.226 5.382
Au 0.000 0.000 0.000
Au 0.000 2.226 6.758
Au 2.226 0.000 4.007
Au 2.226 2.226 0.000
```

E_form values (in eV/atom) by entry order: -0.72; -0.66.
Density of states at the Fermi level values (in states/eV/cell) by entry order: 6.5; 4.7.